This record from the Alexandria database describes crystalline Mg2Ni2Sn at its relaxed geometry. The functional is PBE.

Cell lengths 9.2479, 5.1207, 7.4398 Å; angles 90.00, 104.60, 90.00 degrees
Space group C2/c (No. 15)
Inequivalent atoms, fractional coordinates:
Mg: 0.1571 0.1481 0.1522 [8 per cell]
Ni: 0.1342 0.3529 0.4951 [8 per cell]
Sn: 0.0000 0.3242 0.7500 [4 per cell]

Properties
- Uncorrected energy: -79.53 eV/cell
- Energy of formation from the pure elements: -226 meV/atom
- V: 340.9 Å³ per cell
- Spin magnetization: 0.00 μB per formula unit

---

This record from the Alexandria database describes crystalline MgNi6Sn at its relaxed geometry. The functional is PBE.

Cell lengths 4.1965, 5.2755, 9.1276 Å; angles 90.00, 90.00, 90.00 degrees
Space group Amm2 (No. 38)
Inequivalent atoms, fractional coordinates:
Mg: 0.0000 0.0000 0.0000 [2 per cell]
Ni: 0.0000 0.0000 0.5085 [2 per cell]
Ni: 0.0000 0.2362 0.7453 [4 per cell]
Ni: 0.5000 0.0000 0.8265 [2 per cell]
Ni: 0.5000 0.2399 0.5860 [4 per cell]
Sn: 0.5000 0.0000 0.3326 [2 per cell]

Properties
- Uncorrected energy: -82.74 eV/cell
- Energy of formation from the pure elements: -135 meV/atom
- V: 202.1 Å³ per cell
- Spin magnetization: 0.88 μB per formula unit
- Energy above the most stable polymorph in this dataset: 0.00 eV/f.u.

---

This record from the Alexandria database describes crystalline Mg2Ni4Sn at its relaxed geometry. The functional is PBE.

Cell lengths 4.5931, 4.5931, 13.0620 Å; angles 90.00, 90.00, 90.00 degrees
Space group I4/mmm (No. 139)
Inequivalent atoms, fractional coordinates:
Mg: 0.0000 0.0000 0.1185 [4 per cell]
Ni: 0.0000 0.0000 0.3122 [4 per cell]
Ni: 0.0000 0.5000 0.0000 [4 per cell]
Sn: 0.0000 0.0000 0.5000 [2 per cell]

Properties
- Uncorrected energy: -51.59 eV/cell
- Energy of formation from the pure elements: 646 meV/atom
- V: 275.6 Å³ per cell
- Spin magnetization: 0.00 μB per formula unit

---

This record from the Alexandria database describes crystalline Mg6Ni2Sn at its relaxed geometry. The functional is PBE.

Cell lengths 8.3476, 8.8831, 9.5089 Å; angles 90.00, 90.00, 90.00 degrees
Space group Immm (No. 71)
Inequivalent atoms, fractional coordinates:
Mg: 0.0000 0.1850 0.1646 [8 per cell]
Mg: 0.1840 0.2106 0.5000 [8 per cell]
Mg: 0.2129 0.5000 0.2484 [8 per cell]
Ni: 0.0000 0.0000 0.3762 [4 per cell]
Ni: 0.1759 0.0000 0.0000 [4 per cell]
Sn: 0.0000 0.5000 0.0000 [2 per cell]
Sn: 0.0000 0.5000 0.5000 [2 per cell]

Properties
- Uncorrected energy: -105.76 eV/cell
- Energy of formation from the pure elements: -145 meV/atom
- V: 705.1 Å³ per cell
- Spin magnetization: 0.00 μB per formula unit